A relaxed structure of Ti4Al11Ni, computed with GGA-PBEsol.

Cell lengths 3.8671, 3.8671, 16.1747 Å; angles 90.00, 90.00, 90.00 degrees
Fractional positions:
Ti 0.0000 0.0000 0.0000
Ti 0.0000 0.0000 0.2324
Ti 0.5000 0.5000 0.4912
Ti 0.5000 0.5000 0.7312
Al 0.0000 0.0000 0.4774
Al 0.0000 0.0000 0.7369
Al 0.0000 0.5000 0.1219
Al 0.0000 0.5000 0.3513
Al 0.0000 0.5000 0.6097
Al 0.0000 0.5000 0.8652
Al 0.5000 0.0000 0.1219
Al 0.5000 0.0000 0.3513
Al 0.5000 0.0000 0.6097
Al 0.5000 0.0000 0.8652
Al 0.5000 0.5000 0.9922
Ni 0.5000 0.5000 0.2344

V (Å³ per atom): 15.1
Energy of formation from the pure elements (eV/atom): -0.40
Energy (eV per atom): -5.68